# 1
# Re2AsRu PBE-GGA optimized geometry
data_Re2AsRu
_space_group_name_H-M_alt 'P m m m'
_space_group_IT_number 47
_cell_length_a 2.9982
_cell_length_b 4.4075
_cell_length_c 4.5257
_cell_angle_alpha 90.00
_cell_angle_beta 90.00
_cell_angle_gamma 90.00
loop_
_space_group_symop_operation_xyz
'x,y,z'
'-x,-y,-z'
'-x,-y,z'
'x,y,-z'
'x,-y,-z'
'-x,y,z'
'-x,y,-z'
'x,-y,z'
loop_
_atom_site_label
_atom_site_fract_x
_atom_site_fract_y
_atom_site_fract_z
_atom_site_occupancy
Re1 0.0000 0.0000 0.0000 1
Re2 0.5000 0.5000 0.0000 1
As1 0.0000 0.5000 0.5000 1
Ru1 0.5000 0.0000 0.5000 1
# **ΔH_f (0 K)**: 373 meV per atom
# **M_tot**: 0.00 μB/cell

---

# 2
# ReAsRu3 PBE-GGA optimized geometry
data_ReAsRu3
_space_group_name_H-M_alt 'P m -3 m'
_space_group_IT_number 221
_space_group_name_Hall '-P 4 2 3'
_cell_length_a 4.4481
_cell_length_b 4.4481
_cell_length_c 4.4481
_cell_angle_alpha 90.00
_cell_angle_beta 90.00
_cell_angle_gamma 90.00
loop_
_atom_site_label
_atom_site_fract_x
_atom_site_fract_y
_atom_site_fract_z
_atom_site_occupancy
Re1 0.0000 0.0000 0.0000 1
As1 0.5000 0.5000 0.5000 1
Ru1 0.0000 0.5000 0.5000 1
# **ΔH_f (0 K)**: 1404 meV per atom
# **Energy above the lowest structure with this stoichiometry**: 0 meV per atom
# **M_tot**: 3.11 μB/cell

---

# 3
# Re2AsRu PBE-GGA optimized geometry
data_Re2AsRu
_space_group_name_H-M_alt 'I 4/m m m'
_space_group_IT_number 139
_space_group_name_Hall '-I 4 2'
_cell_length_a 3.8094
_cell_length_b 3.8094
_cell_length_c 8.1089
_cell_angle_alpha 90.00
_cell_angle_beta 90.00
_cell_angle_gamma 90.00
loop_
_atom_site_label
_atom_site_fract_x
_atom_site_fract_y
_atom_site_fract_z
_atom_site_occupancy
Re1 0.0000 0.5000 0.2500 1
As1 0.0000 0.0000 0.0000 1
Ru1 0.0000 0.0000 0.5000 1
# **ΔH_f (0 K)**: 450 meV per atom
# **M_tot**: 0.00 μB/cell

---

# 4
# ReAs4Ru PBE-GGA optimized geometry
data_ReAs4Ru
_space_group_name_H-M_alt 'F -4 3 m'
_space_group_IT_number 216
_space_group_name_Hall 'F -4 2 3'
_cell_length_a 7.4443
_cell_length_b 7.4443
_cell_length_c 7.4443
_cell_angle_alpha 90.00
_cell_angle_beta 90.00
_cell_angle_gamma 90.00
loop_
_atom_site_label
_atom_site_fract_x
_atom_site_fract_y
_atom_site_fract_z
_atom_site_occupancy
Re1 0.0000 0.0000 0.0000 1
As1 0.1251 0.1251 0.3749 1
Ru1 0.2500 0.2500 0.7500 1
# **ΔH_f (0 K)**: 1176 meV per atom
# **M_tot**: 5.36 μB/cell

---

# 5
# Re2AsRu PBE-GGA optimized geometry
data_Re2AsRu
_space_group_name_H-M_alt 'I -4 m 2'
_space_group_IT_number 119
_space_group_name_Hall 'I -4 -2'
_cell_length_a 3.8863
_cell_length_b 3.8863
_cell_length_c 7.7721
_cell_angle_alpha 90.00
_cell_angle_beta 90.00
_cell_angle_gamma 90.00
loop_
_atom_site_label
_atom_site_fract_x
_atom_site_fract_y
_atom_site_fract_z
_atom_site_occupancy
Re1 0.0000 0.0000 0.0000 1
Re2 0.0000 0.5000 0.2500 1
As1 0.0000 0.0000 0.5000 1
Ru1 0.0000 0.5000 0.7500 1
# **ΔH_f (0 K)**: 401 meV per atom
# **M_tot**: 0.00 μB/cell

---

# 6
# ReSbAs2Ru PBE-GGA optimized geometry
data_ReSbAs2Ru
_space_group_name_H-M_alt 'P 4/m m m'
_space_group_IT_number 123
_space_group_name_Hall '-P 4 2'
_cell_length_a 5.1203
_cell_length_b 5.1203
_cell_length_c 4.9204
_cell_angle_alpha 90.00
_cell_angle_beta 90.00
_cell_angle_gamma 90.00
loop_
_atom_site_label
_atom_site_fract_x
_atom_site_fract_y
_atom_site_fract_z
_atom_site_occupancy
Re1 0.0000 0.0000 0.0000 1
Sb1 0.0000 0.0000 0.5000 1
As1 0.0000 0.5000 0.5000 1
Ru1 0.5000 0.5000 0.0000 1
# **Formation energy from raw total energies**: 2.28 eV per atom
# **M_tot**: 3.18 μB/cell

---

# 7
# ReAs2RuSe PBE-GGA optimized geometry
data_ReAs2RuSe
_space_group_name_H-M_alt 'P 4/m m m'
_space_group_IT_number 123
_space_group_name_Hall '-P 4 2'
_cell_length_a 4.7660
_cell_length_b 4.7660
_cell_length_c 4.8323
_cell_angle_alpha 90.00
_cell_angle_beta 90.00
_cell_angle_gamma 90.00
loop_
_atom_site_label
_atom_site_fract_x
_atom_site_fract_y
_atom_site_fract_z
_atom_site_occupancy
Re1 0.0000 0.0000 0.0000 1
As1 0.0000 0.5000 0.0000 1
Ru1 0.5000 0.5000 0.5000 1
Se1 0.0000 0.0000 0.5000 1
# **Energy above the lowest structure with this stoichiometry**: 0 meV per atom
# **Formation energy from raw total energies**: 1.21 eV per atom
# **M_tot**: 0.86 μB/cell

---

# 8
# ReAsS2 PBE-GGA optimized geometry
data_ReAsS2
_space_group_name_H-M_alt 'R -3 m'
_space_group_IT_number 166
_space_group_name_Hall '-R 3 2"'
_cell_length_a 3.1630
_cell_length_b 3.1630
_cell_length_c 25.1747
_cell_angle_alpha 90.00
_cell_angle_beta 90.00
_cell_angle_gamma 120.00
loop_
_atom_site_label
_atom_site_fract_x
_atom_site_fract_y
_atom_site_fract_z
_atom_site_occupancy
Re1 0.0000 0.0000 0.0000 1
As1 0.0000 0.0000 0.5000 1
S1 0.0000 0.0000 0.3961 1
# **Formation energy from raw total energies**: 0.08 eV per atom
# **M_tot**: 0.00 μB/cell

---

# 9
# ReAsS3 PBE-GGA optimized geometry
data_ReAsS3
_space_group_name_H-M_alt 'P m -3 m'
_space_group_IT_number 221
_space_group_name_Hall '-P 4 2 3'
_cell_length_a 4.6146
_cell_length_b 4.6146
_cell_length_c 4.6146
_cell_angle_alpha 90.00
_cell_angle_beta 90.00
_cell_angle_gamma 90.00
loop_
_atom_site_label
_atom_site_fract_x
_atom_site_fract_y
_atom_site_fract_z
_atom_site_occupancy
Re1 0.0000 0.0000 0.0000 1
As1 0.5000 0.5000 0.5000 1
S1 0.0000 0.0000 0.5000 1
# **Energy above the lowest structure with this stoichiometry**: 0 meV per atom
# **Formation energy from raw total energies**: 0.56 eV per atom
# **M_tot**: 0.00 μB/cell

---

# 10
# ReAsS3 PBE-GGA optimized geometry
data_ReAsS3
_space_group_name_H-M_alt 'P m -3 m'
_space_group_IT_number 221
_space_group_name_Hall '-P 4 2 3'
_cell_length_a 4.5279
_cell_length_b 4.5279
_cell_length_c 4.5279
_cell_angle_alpha 90.00
_cell_angle_beta 90.00
_cell_angle_gamma 90.00
loop_
_atom_site_label
_atom_site_fract_x
_atom_site_fract_y
_atom_site_fract_z
_atom_site_occupancy
Re1 0.0000 0.0000 0.0000 1
As1 0.5000 0.5000 0.5000 1
S1 0.0000 0.5000 0.5000 1
# **Energy above the lowest structure with this stoichiometry**: 969 meV per atom
# **Formation energy from raw total energies**: 1.53 eV per atom
# **M_tot**: 0.00 μB/cell

---

# 11
# ReAs2SeS PBE-GGA optimized geometry
data_ReAs2SeS
_space_group_name_H-M_alt 'P 4/m m m'
_space_group_IT_number 123
_space_group_name_Hall '-P 4 2'
_cell_length_a 4.8962
_cell_length_b 4.8962
_cell_length_c 4.6588
_cell_angle_alpha 90.00
_cell_angle_beta 90.00
_cell_angle_gamma 90.00
loop_
_atom_site_label
_atom_site_fract_x
_atom_site_fract_y
_atom_site_fract_z
_atom_site_occupancy
Re1 0.0000 0.0000 0.0000 1
As1 0.0000 0.5000 0.0000 1
Se1 0.0000 0.0000 0.5000 1
S1 0.5000 0.5000 0.5000 1
# **Energy above the lowest structure with this stoichiometry**: 0 meV per atom
# **Formation energy from raw total energies**: 0.68 eV per atom
# **M_tot**: 0.00 μB/cell

---

# 12
# ReAsSe2S PBE-GGA optimized geometry
data_ReAsSe2S
_space_group_name_H-M_alt 'P 4/m m m'
_space_group_IT_number 123
_space_group_name_Hall '-P 4 2'
_cell_length_a 4.5964
_cell_length_b 4.5964
_cell_length_c 4.6635
_cell_angle_alpha 90.00
_cell_angle_beta 90.00
_cell_angle_gamma 90.00
loop_
_atom_site_label
_atom_site_fract_x
_atom_site_fract_y
_atom_site_fract_z
_atom_site_occupancy
Re1 0.0000 0.0000 0.0000 1
As1 0.5000 0.5000 0.0000 1
Se1 0.0000 0.5000 0.5000 1
S1 0.5000 0.5000 0.5000 1
# **Energy above the lowest structure with this stoichiometry**: 754 meV per atom
# **Formation energy from raw total energies**: 1.46 eV per atom
# **M_tot**: 0.00 μB/cell

---

# 13
# ReAs2SeS PBE-GGA optimized geometry
data_ReAs2SeS
_space_group_name_H-M_alt 'P 4/m m m'
_space_group_IT_number 123
_space_group_name_Hall '-P 4 2'
_cell_length_a 4.7194
_cell_length_b 4.7194
_cell_length_c 4.6245
_cell_angle_alpha 90.00
_cell_angle_beta 90.00
_cell_angle_gamma 90.00
loop_
_atom_site_label
_atom_site_fract_x
_atom_site_fract_y
_atom_site_fract_z
_atom_site_occupancy
Re1 0.0000 0.0000 0.0000 1
As1 0.0000 0.5000 0.5000 1
Se1 0.5000 0.5000 0.0000 1
S1 0.5000 0.5000 0.5000 1
# **Energy above the lowest structure with this stoichiometry**: 727 meV per atom
# **Formation energy from raw total energies**: 1.41 eV per atom
# **M_tot**: 2.23 μB/cell

---

# 14
# ReAsSe2S PBE-GGA optimized geometry
data_ReAsSe2S
_space_group_name_H-M_alt 'P 4/m m m'
_space_group_IT_number 123
_space_group_name_Hall '-P 4 2'
_cell_length_a 4.7454
_cell_length_b 4.7454
_cell_length_c 5.0208
_cell_angle_alpha 90.00
_cell_angle_beta 90.00
_cell_angle_gamma 90.00
loop_
_atom_site_label
_atom_site_fract_x
_atom_site_fract_y
_atom_site_fract_z
_atom_site_occupancy
Re1 0.0000 0.0000 0.0000 1
As1 0.0000 0.0000 0.5000 1
Se1 0.0000 0.5000 0.0000 1
S1 0.5000 0.5000 0.5000 1
# **Energy above the lowest structure with this stoichiometry**: 0 meV per atom
# **Formation energy from raw total energies**: 0.71 eV per atom
# **M_tot**: 0.00 μB/cell

---

# 15
# VReAsS2 PBE-GGA optimized geometry
data_VReAsS2
_space_group_name_H-M_alt 'P 4/m m m'
_space_group_IT_number 123
_space_group_name_Hall '-P 4 2'
_cell_length_a 4.3727
_cell_length_b 4.3727
_cell_length_c 5.2540
_cell_angle_alpha 90.00
_cell_angle_beta 90.00
_cell_angle_gamma 90.00
loop_
_atom_site_label
_atom_site_fract_x
_atom_site_fract_y
_atom_site_fract_z
_atom_site_occupancy
V1 0.0000 0.0000 0.0000 1
Re1 0.5000 0.5000 0.5000 1
As1 0.0000 0.0000 0.5000 1
S1 0.0000 0.5000 0.0000 1
# **Formation energy from raw total energies**: 0.86 eV per atom
# **M_tot**: 4.75 μB/cell